Here is an optimized crystal structure of KMn3F from Alexandria. Energies are from PBE with a Hubbard U.

Properties
* space-group type: No. 221
* total magnetic moment: 14.9 Bohr magnetons per cell
* ΔE to the lowest computed polymorph: 0 meV per atom

Unit cell a=5.051 b=5.051 c=5.051 alpha=90.00 beta=90.00 gamma=90.00
Sites, in units of the cell vectors:
K  0.000  0.000  0.000
Mn  0.000  0.500  0.500
Mn  0.500  0.000  0.500
Mn  0.500  0.500  0.000
F  0.500  0.500  0.500